Here is a relaxed Ac12Zn2Pb5 crystal from the Alexandria database. Energies are from PBE-GGA.

Values from the calculation:
D(E_F) ... 21.736 states/eV/f.u.
Space group ... C2/m
Final energy ... -3.92 eV/atom
Crystal system ... monoclinic

a = 10.360 Å, b = 10.360 Å, c = 10.514 Å
α = 100.69°, β = 100.69°, γ = 46.64°
Positions (direct):
Ac 0.009 0.009 0.286
Ac 0.085 0.587 0.902
Ac 0.108 0.596 0.425
Ac 0.404 0.892 0.575
Ac 0.413 0.915 0.098
Ac 0.489 0.489 0.173
Ac 0.511 0.511 0.827
Ac 0.587 0.085 0.902
Ac 0.596 0.108 0.425
Ac 0.892 0.404 0.575
Ac 0.915 0.413 0.098
Ac 0.991 0.991 0.714
Zn 0.157 0.843 0.000
Zn 0.843 0.157 0.000
Pb 0.179 0.179 0.838
Pb 0.202 0.202 0.362
Pb 0.500 0.500 0.500
Pb 0.798 0.798 0.638
Pb 0.821 0.821 0.162